1.
Computed, not measured: crystalline LaZrTlCo2 at its relaxed geometry at the GGA-PBE level of DFT.

Lattice parameters (Å, degrees): 4.8617 5.7547 4.8617 90.00 90.00 90.00
Fractional coordinates of all 5 atoms:
Tl  0.0000  0.0000  0.0000
Co  0.0000  0.0000  0.5000
Co  0.5000  0.0000  0.0000
Zr  0.5000  0.5000  0.5000
La  0.0000  0.5000  0.0000

Values from the calculation:
- energy relative to the elements (eV/atom) = 1.326
- calculated volume (Å³ per atom) = 27.2
- calculated total energy (eV/atom) = -4.685

2.
Computed, not measured: crystalline La3TmCo2 at its relaxed geometry at the GGA-PBE level of DFT.

Lattice parameters (Å, degrees): 4.0513 8.6139 10.3632 79.91 78.73 76.40
Fractional coordinates of all 12 atoms:
La  0.0581  0.0765  0.8072
La  0.9419  0.9235  0.1928
La  0.6943  0.6763  0.9351
La  0.3057  0.3237  0.0649
La  0.8199  0.8056  0.5546
La  0.1801  0.1944  0.4454
Tm  0.4395  0.4276  0.6934
Tm  0.5605  0.5724  0.3066
Co  0.8736  0.3807  0.8720
Co  0.1264  0.6193  0.1280
Co  0.6244  0.1274  0.6239
Co  0.3756  0.8726  0.3761

Values from the calculation:
- energy relative to the elements (eV/atom) = -0.106
- calculated volume (Å³ per atom) = 28.5
- calculated total energy (eV/atom) = -5.684